Crystalline Nd2TeO6 at its relaxed geometry, computed with PBE.

Lattice parameters (Å, degrees): 5.426 9.301 10.188 90.00 90.00 90.00
Positions (direct):
Nd 0.027 0.104 0.460
Nd 0.032 0.217 0.863
Nd 0.468 0.783 0.363
Nd 0.473 0.896 0.960
Nd 0.527 0.396 0.540
Nd 0.532 0.283 0.137
Nd 0.968 0.717 0.637
Nd 0.973 0.604 0.040
Te 0.043 0.496 0.356
Te 0.457 0.504 0.856
Te 0.543 0.004 0.644
Te 0.957 0.996 0.144
O 0.067 0.851 0.020
O 0.169 0.946 0.287
O 0.183 0.637 0.241
O 0.192 0.641 0.824
O 0.222 0.112 0.065
O 0.249 0.413 0.991
O 0.251 0.587 0.491
O 0.278 0.888 0.565
O 0.308 0.359 0.324
O 0.317 0.363 0.741
O 0.331 0.054 0.787
O 0.433 0.149 0.520
O 0.567 0.649 0.980
O 0.669 0.554 0.713
O 0.683 0.863 0.759
O 0.692 0.859 0.176
O 0.722 0.388 0.935
O 0.749 0.087 0.009
O 0.751 0.913 0.509
O 0.778 0.612 0.435
O 0.808 0.141 0.676
O 0.817 0.137 0.259
O 0.831 0.446 0.213
O 0.933 0.351 0.480

Properties
Calculated density in Mg/m³: 6.6
E in eV/atom: -7.19
Total magnetic moment in μB per cell: 0.00

Crystalline GdMgZn at its relaxed geometry, computed with PBE.

Lattice parameters (Å, degrees): 3.511 3.525 13.550 89.96 89.98 60.46
Positions (direct):
Gd 0.000 0.000 0.000
Gd 0.334 0.338 0.790
Mg 0.000 0.998 0.374
Mg 0.666 0.662 0.199
Zn 0.000 0.000 0.625
Zn 0.666 0.662 0.513

Properties
Calculated density in Mg/m³: 5.6
E in eV/atom: -2.45
Total magnetic moment in μB per cell: 0.02

Crystalline ZnGa2Se4 at its relaxed geometry, computed with PBE.

Lattice parameters (Å, degrees): 5.601 5.611 6.778 114.30 114.25 90.09
Positions (direct):
Zn 0.000 0.000 0.000
Ga 0.499 0.502 0.001
Ga 0.749 0.250 0.500
Se 0.134 0.107 0.732
Se 0.371 0.868 0.269
Se 0.599 0.629 0.732
Se 0.894 0.401 0.267

Properties
Calculated density in Mg/m³: 5.0
E in eV/atom: -3.69

Crystalline PuTaTe at its relaxed geometry, computed with PBE.

Lattice parameters (Å, degrees): 6.698 6.698 6.698 90.00 90.00 90.00
Positions (direct):
Pu 0.000 0.000 0.000
Pu 0.000 0.500 0.500
Pu 0.500 0.000 0.500
Pu 0.500 0.500 0.000
Ta 0.250 0.250 0.750
Ta 0.250 0.750 0.250
Ta 0.750 0.250 0.250
Ta 0.750 0.750 0.750
Te 0.000 0.000 0.500
Te 0.000 0.500 0.000
Te 0.500 0.000 0.000
Te 0.500 0.500 0.500

Properties
Calculated density in Mg/m³: 12.2
Total magnetic moment in μB per cell: 20.20
E above lowest polymorph in kJ/mol of atoms: 0.00

Crystalline YGeIr at its relaxed geometry, computed with PBE.

Lattice parameters (Å, degrees): 6.888 4.311 7.650 90.00 90.00 90.00
Positions (direct):
Y 0.005 0.250 0.191
Y 0.495 0.750 0.691
Y 0.505 0.250 0.309
Y 0.995 0.750 0.809
Ge 0.208 0.750 0.390
Ge 0.292 0.250 0.890
Ge 0.708 0.750 0.110
Ge 0.792 0.250 0.610
Ir 0.161 0.250 0.566
Ir 0.339 0.750 0.066
Ir 0.661 0.250 0.934
Ir 0.839 0.750 0.434

Properties
Calculated density in Mg/m³: 10.3
E in eV/atom: -7.58
Total magnetic moment in μB per cell: 0.00

Crystalline HgB4O7 at its relaxed geometry, computed with PBE.

Lattice parameters (Å, degrees): 10.646 4.376 4.184 90.00 90.00 90.00
Positions (direct):
Hg 0.000 0.191 0.000
Hg 0.500 0.809 0.500
B 0.120 0.674 0.509
B 0.249 0.826 0.990
B 0.251 0.174 0.490
B 0.380 0.326 0.009
B 0.620 0.326 0.009
B 0.749 0.174 0.490
B 0.751 0.826 0.990
B 0.880 0.674 0.509
O 0.000 0.779 0.401
O 0.134 0.726 0.851
O 0.138 0.352 0.436
O 0.224 0.863 0.347
O 0.276 0.137 0.847
O 0.362 0.648 0.936
O 0.366 0.274 0.351
O 0.500 0.221 0.901
O 0.634 0.274 0.351
O 0.638 0.648 0.936
O 0.724 0.137 0.847
O 0.776 0.863 0.347
O 0.862 0.352 0.436
O 0.866 0.726 0.851

Properties
Calculated density in Mg/m³: 6.1
E above lowest polymorph in kJ/mol of atoms: 6.26

Crystalline KCuReTeSe2 at its relaxed geometry, computed with PBE.

Lattice parameters (Å, degrees): 8.027 8.027 10.088 90.00 90.00 152.69
Positions (direct):
K 0.225 0.775 0.750
K 0.775 0.225 0.250
Cu 0.466 0.534 0.250
Cu 0.534 0.466 0.750
Re 0.000 0.000 0.000
Re 0.000 0.000 0.500
Te 0.079 0.921 0.250
Te 0.921 0.079 0.750
Se 0.391 0.609 0.045
Se 0.391 0.609 0.455
Se 0.609 0.391 0.545
Se 0.609 0.391 0.955

Properties
Calculated density in Mg/m³: 6.4
E in eV/atom: -4.79
Total magnetic moment in μB per cell: 3.85

Crystalline DyErTm2 at its relaxed geometry, computed with PBE.

Lattice parameters (Å, degrees): 5.551 7.131 12.351 90.00 90.00 90.00
Positions (direct):
Dy 0.000 0.000 0.000
Dy 0.000 0.500 0.500
Dy 0.500 0.000 0.333
Dy 0.500 0.500 0.833
Er 0.000 0.249 0.750
Er 0.000 0.251 0.250
Er 0.000 0.749 0.250
Er 0.000 0.751 0.750
Tm 0.000 0.000 0.500
Tm 0.000 0.500 0.000
Tm 0.500 0.000 0.833
Tm 0.500 0.249 0.584
Tm 0.500 0.251 0.084
Tm 0.500 0.500 0.333
Tm 0.500 0.749 0.084
Tm 0.500 0.751 0.584

Properties
Calculated density in Mg/m³: 9.1
E in eV/atom: -4.53
Total magnetic moment in μB per cell: 0.27

Question: Which formula does entry 4 have?
Answer: PuTaTe

What did the third record say?
Crystalline ZnGa2Se4 at its relaxed geometry, computed with PBE.

Lattice parameters (Å, degrees): 5.601 5.611 6.778 114.30 114.25 90.09
Positions (direct):
Zn 0.000 0.000 0.000
Ga 0.499 0.502 0.001
Ga 0.749 0.250 0.500
Se 0.134 0.107 0.732
Se 0.371 0.868 0.269
Se 0.599 0.629 0.732
Se 0.894 0.401 0.267

Properties
Calculated density in Mg/m³: 5.0
E in eV/atom: -3.69